[1]
This record from Alexandria describes a relaxed Fe2NiRh3 crystal. The functional is PBE.

```
Fe2NiRh3
1.0
6.730 0.000 -3.703
-2.037 6.415 -3.703
-0.076 -0.105 7.829
Fe Ni Rh
8 4 12
Direct
0.913 0.726 0.827
0.337 0.649 0.673
0.274 0.087 0.173
0.351 0.663 0.327
0.899 0.087 0.173
0.976 0.663 0.327
0.337 0.024 0.673
0.913 0.101 0.827
0.299 0.299 0.599
0.701 0.701 0.401
0.549 0.049 0.099
0.951 0.451 0.901
0.314 0.686 0.000
0.125 0.875 0.250
0.125 0.375 0.250
0.686 0.686 0.000
0.686 0.314 0.000
0.936 0.436 0.500
0.625 0.875 0.750
0.125 0.875 0.750
0.564 0.064 0.500
0.564 0.436 0.500
0.314 0.314 0.000
0.936 0.064 0.500
```

Summary:
Its space group is I4_1/amd, No. 141. The total energy comes out at -174.8 eV for the cell shown.

***

[2]
This record from Alexandria describes a relaxed FeNi3Rh crystal. The functional is PBE.

```
FeNi3Rh
1.0
0.750 -1.645 -4.802
1.601 -6.612 -0.252
-3.730 -1.550 4.042
Fe Ni Rh
2 6 2
Direct
0.350 0.894 0.352
0.736 0.305 0.133
0.235 0.299 0.143
0.849 0.901 0.338
0.649 0.697 0.946
0.535 0.107 0.737
0.950 0.499 0.545
0.439 0.502 0.545
0.040 0.106 0.738
0.143 0.698 0.942
```

Summary:
Its space group is P1, No. 1. The total energy comes out at -66.6 eV for the cell shown. Its offset from the most stable computed form is 0 meV per atom.

***

[3]
This record from Alexandria describes a relaxed Fe6Ni12Rh crystal. The functional is PBE.

```
Fe6Ni12Rh
1.0
-5.381 -1.190 -2.606
-2.027 -2.387 5.230
-2.064 5.472 1.720
Fe Ni Rh
6 12 1
Direct
0.883 0.726 0.279
0.721 0.117 0.274
0.274 0.721 0.117
0.117 0.274 0.721
0.279 0.883 0.726
0.726 0.279 0.883
0.800 0.432 0.524
0.524 0.800 0.432
0.432 0.524 0.800
0.200 0.568 0.476
0.476 0.200 0.568
0.568 0.476 0.200
0.161 0.033 0.376
0.967 0.624 0.839
0.624 0.839 0.967
0.839 0.967 0.624
0.033 0.376 0.161
0.376 0.161 0.033
0.000 0.000 0.000
```

Summary:
Its space group is R-3, No. 148. The total energy comes out at -125.8 eV for the cell shown.

***

[4]
This record from Alexandria describes a relaxed FeNiRh2 crystal. The functional is PBE.

```
FeNiRh2
1.0
4.522 0.000 0.003
3.729 2.558 0.003
0.807 0.250 4.549
Ni Rh Fe
1 2 1
Direct
0.250 0.250 0.250
0.001 0.001 0.002
0.499 0.499 0.498
0.750 0.750 0.750
```

Summary:
Its space group is C2/m, No. 12. The total energy comes out at -28.9 eV for the cell shown.

***

[5]
This record from Alexandria describes a relaxed Fe2Ni3Rh2 crystal. The functional is PBE.

```
Fe2Ni3Rh2
1.0
-3.389 1.082 -2.889
-3.906 -7.739 1.684
-1.615 2.989 3.014
Fe Ni Rh
4 6 4
Direct
0.118 0.136 0.566
0.618 0.364 0.934
0.382 0.636 0.066
0.882 0.864 0.434
0.500 0.500 0.500
0.000 0.000 0.000
0.053 0.430 0.706
0.553 0.070 0.794
0.447 0.930 0.206
0.947 0.570 0.294
0.854 0.709 0.867
0.646 0.209 0.367
0.354 0.791 0.633
0.146 0.291 0.133
```

Summary:
Its space group is P2_1/c, No. 14. The total energy comes out at -97.0 eV for the cell shown.

***

[6]
This record from Alexandria describes a relaxed Fe2Ni5Rh4 crystal. The functional is PBE.

```
Fe2Ni5Rh4
1.0
-0.112 -3.201 -1.808
1.896 -2.740 4.735
-7.400 2.681 -0.548
Fe Ni Rh
2 5 4
Direct
0.404 0.260 0.807
0.596 0.740 0.193
0.771 0.173 0.543
0.229 0.827 0.457
0.863 0.915 0.725
0.500 0.000 0.000
0.137 0.085 0.275
0.318 0.542 0.635
0.042 0.356 0.085
0.682 0.458 0.365
0.958 0.644 0.915
```

Summary:
Its space group is C2/m, No. 12. The total energy comes out at -75.2 eV for the cell shown.

***

[7]
This record from Alexandria describes a relaxed Fe3Ni2Rh crystal. The functional is PBE.

```
Fe3Ni2Rh
1.0
-1.051 -2.919 -1.930
-0.305 -4.539 3.571
-6.889 1.559 1.393
Fe Ni Rh
6 4 2
Direct
0.835 0.330 0.741
0.500 0.000 0.259
0.165 0.670 0.259
0.835 0.330 0.259
0.165 0.670 0.741
0.500 0.000 0.741
0.000 0.000 0.000
0.000 0.000 0.500
0.333 0.334 0.500
0.667 0.666 0.500
0.338 0.324 0.000
0.662 0.676 0.000
```

Summary:
Its space group is Cmmm, No. 65. The total energy comes out at -89.0 eV for the cell shown.

***

[8]
This record from Alexandria describes a relaxed Fe2NiRh5 crystal. The functional is PBE.

```
Fe2NiRh5
1.0
4.679 -0.127 -2.553
-3.000 4.401 -0.223
-0.087 0.127 5.329
Fe Ni Rh
2 1 5
Direct
0.500 0.222 0.722
0.500 0.722 0.222
0.000 0.222 0.222
0.500 0.722 0.722
0.000 0.222 0.722
0.000 0.722 0.222
0.500 0.222 0.222
0.000 0.722 0.722
```

Summary:
Its space group is I4/mmm, No. 139. The total energy comes out at -59.8 eV for the cell shown.